No. 1
VASP calculation (GGA-PBE) on a relaxed Nd2GdTc crystal.

Summary:
* formation energy from the elements: 0.275 eV per atom
* Fermi-level density of states: 14.7 states/eV/cell
* spin magnetization: 22.09 Bohr magnetons per cell
* crystal system: trigonal

Cell: 5.5961 5.5961 11.7510 Å, 90.00 90.00 120.00°
Closest atoms and distances in Å follow each position.
Space group R-3m (No. 166, hexagonal axes)
Asymmetric unit:
Nd: 0.0000 0.0000 0.2347  1 Tc 2.76
Gd: 0.0000 0.0000 0.5000  8 Nd 3.12-3.33
Tc: 0.0000 0.0000 0.0000  2 Nd 2.76

---

No. 2
VASP calculation (GGA-PBE) on a relaxed NdGdTe2 crystal.

Summary:
* uncorrected formation energy: -5.19 eV/f.u.
* Fermi-level density of states: 20.1 states/eV/cell
* spin magnetization: 32.67 Bohr magnetons per cell
* crystal system: cubic

Cell: 7.7047 7.7047 7.7047 Å, 90.00 90.00 90.00°
Closest atoms and distances in Å follow each position.
Space group Fm-3m (No. 225)
Asymmetric unit:
Nd: 0.0000 0.0000 0.0000  8 Te 3.34
Gd: 0.0000 0.0000 0.5000  8 Te 3.34
Te: 0.2500 0.2500 0.2500  4 Gd 3.34, 4 Nd 3.34

---

Number 2 is which compound? NdGdTe2

---

What did the second record say?
VASP calculation (GGA-PBE) on a relaxed NdGdTe2 crystal.

Summary:
* uncorrected formation energy: -5.19 eV/f.u.
* Fermi-level density of states: 20.1 states/eV/cell
* spin magnetization: 32.67 Bohr magnetons per cell
* crystal system: cubic

Cell: 7.7047 7.7047 7.7047 Å, 90.00 90.00 90.00°
Closest atoms and distances in Å follow each position.
Space group Fm-3m (No. 225)
Asymmetric unit:
Nd: 0.0000 0.0000 0.0000  8 Te 3.34
Gd: 0.0000 0.0000 0.5000  8 Te 3.34
Te: 0.2500 0.2500 0.2500  4 Gd 3.34, 4 Nd 3.34